Compound: CaZr2Hg
Source: Alexandria
Functional: GGA-PBE
Structure: relaxed

a b c (Å): 11.132 11.132 11.132
angles (deg): 16.89 16.89 16.89
Fractional coordinates of all 4 atoms:
Ca  0.000  0.000  0.000
Zr  0.242  0.242  0.242
Zr  0.758  0.758  0.758
Hg  0.500  0.500  0.500

Summary:
E (eV/atom): -4.65
Crystal system: trigonal
Total moment (μB/f.u.): 0.00